Entry from Alexandria: AlOsN2F after structural relaxation (GGA-PBE).

Lattice parameters (Å, degrees): 3.861 3.861 4.313 90.00 90.00 90.00
Space group P4/mmm (No. 123)
Asymmetric unit:
Al 0.000 0.000 0.000 (multiplicity 1)
Os 0.500 0.500 0.500 (multiplicity 1)
N 0.000 0.500 0.500 (multiplicity 2)
F 0.500 0.500 0.000 (multiplicity 1)

Magnetic moment = 0.000 μB/atom
Energy relative to the elements, uncorrected = 0.30 eV per atom
Excess energy over the best structure of this formula in the dataset = 0.000 eV/atom
DOS at the Fermi energy = 0.701 states/eV per atom

***

Entry from Alexandria: Pr4GaIrCl2 after structural relaxation (GGA-PBE).

Lattice parameters (Å, degrees): 7.636 4.091 7.786 90.00 108.96 90.00
Space group P2/m (No. 10)
Asymmetric unit:
Pr 0.231 0.000 0.278 (multiplicity 2)
Pr 0.237 0.500 0.712 (multiplicity 2)
Ga 0.500 0.500 0.500 (multiplicity 1)
Ir 0.000 0.000 0.500 (multiplicity 1)
Cl 0.000 0.500 0.000 (multiplicity 1)
Cl 0.500 0.000 0.000 (multiplicity 1)

Magnetic moment = 0.000 μB/atom
Energy relative to the elements, uncorrected = -1.06 eV per atom
DOS at the Fermi energy = 0.811 states/eV per atom

***

Entry from Alexandria: Ac3InSi4 after structural relaxation (GGA-PBE).

Lattice parameters (Å, degrees): 4.735 6.101 16.221 90.00 90.00 90.00
Space group Immm (No. 71)
Asymmetric unit:
Ac 0.000 0.000 0.000 (multiplicity 2)
Ac 0.000 0.500 0.188 (multiplicity 4)
In 0.000 0.000 0.500 (multiplicity 2)
Si 0.000 0.309 0.374 (multiplicity 8)

Magnetic moment = 0.000 μB/atom
Energy relative to the elements, uncorrected = -0.42 eV per atom
DOS at the Fermi energy = 0.504 states/eV per atom

***

Entry from Alexandria: Re2NiAs after structural relaxation (GGA-PBE).

Lattice parameters (Å, degrees): 3.791 3.791 3.921 90.00 90.00 90.00
Space group P4/mmm (No. 123)
Asymmetric unit:
Re 0.000 0.500 0.000 (multiplicity 2)
Ni 0.000 0.000 0.500 (multiplicity 1)
As 0.500 0.500 0.500 (multiplicity 1)

Magnetic moment = 0.000 μB/atom
DOS at the Fermi energy = 0.913 states/eV per atom
ΔE_f = 0.472 eV/atom

***

Entry from Alexandria: Dy5Ho2Sb4 after structural relaxation (GGA-PBE).

Lattice parameters (Å, degrees): 25.841 3.620 7.289 90.00 91.46 90.00
Space group C2/m (No. 12)
Asymmetric unit:
Dy 0.000 0.000 0.000 (multiplicity 2)
Dy 0.090 0.500 0.695 (multiplicity 4)
Dy 0.140 0.500 0.163 (multiplicity 4)
Ho 0.236 0.500 0.783 (multiplicity 4)
Sb 0.032 0.500 0.320 (multiplicity 4)
Sb 0.173 0.000 0.501 (multiplicity 4)

Magnetic moment = 0.000 μB/atom
Energy relative to the elements, uncorrected = -0.44 eV per atom
DOS at the Fermi energy = 1.075 states/eV per atom

***

Entry from Alexandria: La7Sn2Pt2 after structural relaxation (GGA-PBE).

Lattice parameters (Å, degrees): 8.544 11.764 7.191 90.00 90.00 90.00
Space group Cmmm (No. 65)
Asymmetric unit:
La 0.000 0.000 0.000 (multiplicity 2)
La 0.000 0.500 0.234 (multiplicity 4)
La 0.250 0.250 0.266 (multiplicity 8)
Sn 0.172 0.000 0.500 (multiplicity 4)
Pt 0.000 0.275 0.000 (multiplicity 4)

Magnetic moment = 0.000 μB/atom
DOS at the Fermi energy = 1.097 states/eV per atom
ΔE_f = -0.655 eV/atom

***

Entry from Alexandria: ScTc2Rh after structural relaxation (GGA-PBE).

Lattice parameters (Å, degrees): 9.734 2.850 4.639 90.00 102.09 90.00
Space group C2/m (No. 12)
Asymmetric unit:
Sc 0.000 0.000 0.000 (multiplicity 2)
Tc 0.234 0.000 0.733 (multiplicity 4)
Rh 0.000 0.500 0.500 (multiplicity 2)

Magnetic moment = 0.000 μB/atom
Excess energy over the best structure of this formula in the dataset = 0.079 eV/atom
DOS at the Fermi energy = 0.987 states/eV per atom
ΔE_f = -0.134 eV/atom

***

Entry from Alexandria: BaPmTl after structural relaxation (GGA-PBE).

Lattice parameters (Å, degrees): 4.080 4.080 28.827 90.00 90.00 90.00
Space group I4/mmm (No. 139)
Asymmetric unit:
Ba 0.000 0.000 0.074 (multiplicity 4)
Pm 0.000 0.000 0.211 (multiplicity 4)
Tl 0.000 0.000 0.345 (multiplicity 4)

Magnetic moment = 0.196 μB/atom
Excess energy over the best structure of this formula in the dataset = 0.061 eV/atom
DOS at the Fermi energy = 0.905 states/eV per atom
ΔE_f = -0.224 eV/atom